Record 1
This record from the Alexandria database describes a geometry-optimized Rb2S2Cl structure. The functional is PBE.

a = 8.624 Å, b = 8.624 Å, c = 4.444 Å
α = 90.00°, β = 90.00°, γ = 90.00°
Site moments in Bohr magnetons follow the coordinates.
Atoms (fractional coordinates):
S (0.418, 0.918, 0.000)  0.27
S (0.918, 0.582, 0.000)  0.27
S (0.582, 0.082, 0.000)  0.27
S (0.082, 0.418, 0.000)  0.27
Rb (0.205, 0.705, 0.500)  0.00
Rb (0.705, 0.795, 0.500)  0.00
Rb (0.795, 0.295, 0.500)  0.00
Rb (0.295, 0.205, 0.500)  0.00
Cl (0.000, 0.000, 0.000)  0.08
Cl (0.500, 0.500, 0.000)  0.08

Summary:
Energy relative to the lowest polymorph listed for this composition in meV/atom: 0
N(E_F) in states/eV/cell: 3.63
Spin magnetization in μB per atom: 0.20
SG: P4/mbm (127)

***

Record 2
This record from the Alexandria database describes a geometry-optimized BePtBr structure. The functional is PBE.

a = 7.486 Å, b = 7.486 Å, c = 7.486 Å
α = 157.92°, β = 157.56°, γ = 31.69°
Atoms (fractional coordinates):
Be (0.047, 0.047, 0.000)
Br (0.341, 0.341, 0.000)
Pt (0.612, 0.612, 0.000)

Summary:
Energy relative to the lowest polymorph listed for this composition in meV/atom: 104
N(E_F) in states/eV/cell: 1.03
Spin magnetization in μB per atom: 0.00
SG: Imm2 (44)

***

Record 3
This record from the Alexandria database describes a geometry-optimized NiRh2 structure. The functional is PBE.

a = 2.709 Å, b = 3.689 Å, c = 4.579 Å
α = 113.75°, β = 107.20°, γ = 90.00°
Atoms (fractional coordinates):
Ni (0.000, 0.000, 0.000)
Rh (0.336, 0.336, 0.672)
Rh (0.664, 0.664, 0.328)

Summary:
Energy relative to the lowest polymorph listed for this composition in meV/atom: 0
N(E_F) in states/eV/cell: 5.46
Spin magnetization in μB per atom: 0.00
SG: Immm (71)
ΔH_f (0 K) in kJ/mol of formula units: 11.5

***

Record 4
This record from the Alexandria database describes a geometry-optimized Sc2B2Ir5Pd structure. The functional is PBE.

a = 3.128 Å, b = 9.443 Å, c = 9.443 Å
α = 90.00°, β = 90.00°, γ = 90.00°
Atoms (fractional coordinates):
Sc (0.000, 0.677, 0.177)
Sc (0.000, 0.323, 0.823)
Sc (0.000, 0.177, 0.323)
Sc (0.000, 0.823, 0.677)
B (0.000, 0.124, 0.624)
B (0.000, 0.876, 0.376)
B (0.000, 0.624, 0.876)
B (0.000, 0.376, 0.124)
Ir (0.500, 0.222, 0.072)
Ir (0.500, 0.778, 0.928)
Ir (0.500, 0.072, 0.778)
Ir (0.500, 0.722, 0.428)
Ir (0.500, 0.928, 0.222)
Ir (0.500, 0.278, 0.572)
Ir (0.500, 0.572, 0.722)
Ir (0.500, 0.428, 0.278)
Ir (0.500, 0.500, 0.000)
Ir (0.500, 0.000, 0.500)
Pd (0.000, 0.000, 0.000)
Pd (0.000, 0.500, 0.500)

Summary:
N(E_F) in states/eV/cell: 13.95
Spin magnetization in μB per atom: 0.00
SG: P4/mbm (127)
ΔH_f (0 K) in kJ/mol of formula units: -606.5

***

Record 5
This record from the Alexandria database describes a geometry-optimized Tb7Nd12Ho structure. The functional is PBE.

a = 6.255 Å, b = 11.551 Å, c = 11.551 Å
α = 116.82°, β = 100.40°, γ = 100.40°
Atoms (fractional coordinates):
Tb (0.125, 0.755, 0.000)
Tb (0.875, 0.000, 0.246)
Tb (0.630, 0.754, 0.755)
Tb (0.500, 0.000, 0.000)
Tb (0.370, 0.246, 0.245)
Tb (0.125, 0.000, 0.754)
Tb (0.875, 0.245, 0.000)
Nd (0.088, 0.588, 0.176)
Nd (0.088, 0.176, 0.588)
Nd (0.584, 0.646, 0.000)
Nd (0.416, 0.000, 0.354)
Nd (0.500, 0.412, 0.588)
Nd (0.062, 0.646, 0.646)
Nd (0.938, 0.354, 0.354)
Nd (0.500, 0.588, 0.412)
Nd (0.584, 0.000, 0.646)
Nd (0.416, 0.354, 0.000)
Nd (0.912, 0.824, 0.412)
Nd (0.912, 0.412, 0.824)
Ho (0.000, 0.000, 0.000)

Summary:
Energy relative to the lowest polymorph listed for this composition in meV/atom: 0
N(E_F) in states/eV/cell: 27.27
Spin magnetization in μB per atom: 0.00
SG: R-3m (166)
ΔH_f (0 K) in kJ/mol of formula units: 441.4

***

Record 6
This record from the Alexandria database describes a geometry-optimized ScHgRh2 structure. The functional is PBE.

a = 4.245 Å, b = 7.059 Å, c = 3.715 Å
α = 58.24°, β = 90.00°, γ = 126.95°
Atoms (fractional coordinates):
Sc (0.500, 0.500, 0.000)
Rh (0.000, 0.000, 0.000)
Rh (0.000, 0.500, 0.500)
Hg (0.500, 0.000, 0.500)

Summary:
N(E_F) in states/eV/cell: 3.60
Spin magnetization in μB per atom: 0.00
SG: P4/mmm (123)
ΔH_f (0 K) in kJ/mol of formula units: -212.5

***

Repeat the third record exactly.
This record from the Alexandria database describes a geometry-optimized NiRh2 structure. The functional is PBE.

a = 2.709 Å, b = 3.689 Å, c = 4.579 Å
α = 113.75°, β = 107.20°, γ = 90.00°
Atoms (fractional coordinates):
Ni (0.000, 0.000, 0.000)
Rh (0.336, 0.336, 0.672)
Rh (0.664, 0.664, 0.328)

Summary:
Energy relative to the lowest polymorph listed for this composition in meV/atom: 0
N(E_F) in states/eV/cell: 5.46
Spin magnetization in μB per atom: 0.00
SG: Immm (71)
ΔH_f (0 K) in kJ/mol of formula units: 11.5